Record 1
VASP calculation (PBE-GGA) on a relaxed structure of TlSb2PI.

Unit cell a=5.259 b=5.259 c=5.840 alpha=90.00 beta=90.00 gamma=90.00
Atoms (fractional coordinates):
Tl 0.000 0.000 0.000
Sb 0.000 0.500 0.500
Sb 0.500 0.000 0.500
P 0.500 0.500 0.500
I 0.500 0.500 0.000

Magnetic moment (μB/f.u.): 0.00
Space-group type: P4/mmm, No. 123
E above lowest polymorph (kJ per mole of atoms): 0.0
E_form (uncorrected) (eV per atom): 0.3789

Record 2
VASP calculation (PBE-GGA) on a relaxed structure of VSbPI2.

Unit cell a=5.154 b=5.154 c=5.587 alpha=90.00 beta=90.00 gamma=90.00
Atoms (fractional coordinates):
V 0.000 0.000 0.000
Sb 0.000 0.000 0.500
P 0.500 0.500 0.500
I 0.000 0.500 0.000
I 0.500 0.000 0.000

Magnetic moment (μB/f.u.): 1.09
Space-group type: P4/mmm, No. 123
E above lowest polymorph (kJ per mole of atoms): 0.0
E_form (uncorrected) (eV per atom): 0.7743